Here is a relaxed structure of Pm14SmHo from the Alexandria database. Energies are from PBE-GGA.

Total moment = 0.00 μB per formula unit
Energy = -75.58 eV for the cell shown

Geometry as CIF:
```
data_Pm14SmHo
_space_group_name_H-M_alt 'P 1'
_space_group_IT_number 1
_cell_length_a 7.288
_cell_length_b 7.288
_cell_length_c 10.283
_cell_angle_alpha 90.00
_cell_angle_beta 90.00
_cell_angle_gamma 89.99
loop_
_space_group_symop_operation_xyz
'x,y,z'
loop_
_atom_site_label
_atom_site_fract_x
_atom_site_fract_y
_atom_site_fract_z
Pm1 0.375 0.625 0.500
Pm2 0.624 0.874 0.249
Pm3 0.375 0.125 0.500
Pm4 0.875 0.125 0.500
Pm5 0.624 0.874 0.751
Sm1 0.875 0.125 0.000
Pm6 0.624 0.376 0.249
Ho1 0.375 0.625 0.000
Pm7 0.126 0.376 0.249
Pm8 0.126 0.874 0.249
Pm9 0.126 0.874 0.751
Pm10 0.875 0.625 0.000
Pm11 0.875 0.625 0.500
Pm12 0.375 0.125 0.000
Pm13 0.126 0.376 0.751
Pm14 0.624 0.376 0.751
```